(1)
# Tl2In2Ga, optimized geometry, DFT PBEsol
data_Tl2In2Ga
_chemical_formula_sum 'Tl4 In4 Ga2'
_cell_length_a 7.3274
_cell_length_b 7.3274
_cell_length_c 4.9118
_cell_angle_alpha 90.00
_cell_angle_beta 90.00
_cell_angle_gamma 90.00
_symmetry_space_group_name_H-M 'P 4/m b m'
_symmetry_Int_Tables_number 127
_symmetry_space_group_name_Hall '-P 4 2ab'
loop_
_atom_site_label
_atom_site_fract_x
_atom_site_fract_y
_atom_site_fract_z
_atom_site_occupancy
Tl1 0.1683 0.3317 0.0000 1
In1 0.1434 0.6434 0.5000 1
Ga1 0.0000 0.0000 0.5000 1
# - Calculated formation energy: 0.082 eV per atom
# - Volume: 264 Å³ per cell

***

(2)
# Tl2In2Ga, optimized geometry, DFT PBEsol
data_Tl2In2Ga
_chemical_formula_sum 'Tl4 In4 Ga2'
_cell_length_a 4.2953
_cell_length_b 4.2953
_cell_length_c 15.0641
_cell_angle_alpha 90.00
_cell_angle_beta 90.00
_cell_angle_gamma 90.00
_symmetry_space_group_name_H-M 'I 4/m m m'
_symmetry_Int_Tables_number 139
_symmetry_space_group_name_Hall '-I 4 2'
loop_
_atom_site_label
_atom_site_fract_x
_atom_site_fract_y
_atom_site_fract_z
_atom_site_occupancy
Tl1 0.0000 0.5000 0.2500 1
In1 0.0000 0.0000 0.0942 1
Ga1 0.0000 0.0000 0.5000 1
# - Calculated formation energy: 0.237 eV per atom
# - Volume: 278 Å³ per cell

***

(3)
# InGaW2, optimized geometry, DFT PBEsol
data_InGaW2
_chemical_formula_sum 'In4 Ga4 W8'
_cell_length_a 6.3756
_cell_length_b 6.3756
_cell_length_c 6.3756
_cell_angle_alpha 90.00
_cell_angle_beta 90.00
_cell_angle_gamma 90.00
_symmetry_space_group_name_H-M 'F m -3 m'
_symmetry_Int_Tables_number 225
_symmetry_space_group_name_Hall '-F 4 2 3'
loop_
_atom_site_label
_atom_site_fract_x
_atom_site_fract_y
_atom_site_fract_z
_atom_site_occupancy
In1 0.0000 0.0000 0.0000 1
Ga1 0.0000 0.0000 0.5000 1
W1 0.2500 0.2500 0.2500 1
# - Calculated formation energy: 0.723 eV per atom
# - Volume: 259 Å³ per cell

***

(4)
# Y3InGa, optimized geometry, DFT PBEsol
data_Y3InGa
_chemical_formula_sum 'Y3 In1 Ga1'
_cell_length_a 5.3432
_cell_length_b 5.3432
_cell_length_c 5.3432
_cell_angle_alpha 90.00
_cell_angle_beta 90.00
_cell_angle_gamma 90.00
_symmetry_space_group_name_H-M 'P m -3 m'
_symmetry_Int_Tables_number 221
_symmetry_space_group_name_Hall '-P 4 2 3'
loop_
_atom_site_label
_atom_site_fract_x
_atom_site_fract_y
_atom_site_fract_z
_atom_site_occupancy
Y1 0.0000 0.0000 0.5000 1
In1 0.5000 0.5000 0.5000 1
Ga1 0.0000 0.0000 0.0000 1
# - Calculated formation energy: -0.113 eV per atom
# - Volume: 153 Å³ per cell

***

(5)
# Y2InGa, optimized geometry, DFT PBEsol
data_Y2InGa
_chemical_formula_sum 'Y8 In4 Ga4'
_cell_length_a 7.2407
_cell_length_b 7.2407
_cell_length_c 7.2407
_cell_angle_alpha 90.00
_cell_angle_beta 90.00
_cell_angle_gamma 90.00
_symmetry_space_group_name_H-M 'F m -3 m'
_symmetry_Int_Tables_number 225
_symmetry_space_group_name_Hall '-F 4 2 3'
loop_
_atom_site_label
_atom_site_fract_x
_atom_site_fract_y
_atom_site_fract_z
_atom_site_occupancy
Y1 0.2500 0.2500 0.2500 1
In1 0.0000 0.0000 0.0000 1
Ga1 0.0000 0.0000 0.5000 1
# - Calculated formation energy: -0.574 eV per atom
# - Volume: 380 Å³ per cell

***

(6)
# Zn2In2Ga, optimized geometry, DFT PBEsol
data_Zn2In2Ga
_chemical_formula_sum 'Zn4 In4 Ga2'
_cell_length_a 6.8422
_cell_length_b 6.8422
_cell_length_c 4.2170
_cell_angle_alpha 90.00
_cell_angle_beta 90.00
_cell_angle_gamma 90.00
_symmetry_space_group_name_H-M 'P 4/m b m'
_symmetry_Int_Tables_number 127
_symmetry_space_group_name_Hall '-P 4 2ab'
loop_
_atom_site_label
_atom_site_fract_x
_atom_site_fract_y
_atom_site_fract_z
_atom_site_occupancy
Zn1 0.1305 0.3695 0.0000 1
In1 0.1750 0.6750 0.5000 1
Ga1 0.0000 0.0000 0.0000 1
# - Calculated formation energy: 0.081 eV per atom
# - Volume: 197 Å³ per cell

***

(7)
# ZnInGa2, optimized geometry, DFT PBEsol
data_ZnInGa2
_chemical_formula_sum 'Zn4 In4 Ga8'
_cell_length_a 4.3687
_cell_length_b 4.3687
_cell_length_c 16.7228
_cell_angle_alpha 90.00
_cell_angle_beta 90.00
_cell_angle_gamma 90.00
_symmetry_space_group_name_H-M 'I -4 2 d'
_symmetry_Int_Tables_number 122
_symmetry_space_group_name_Hall 'I -4 2bw'
loop_
_atom_site_label
_atom_site_fract_x
_atom_site_fract_y
_atom_site_fract_z
_atom_site_occupancy
Zn1 0.0000 0.0000 0.0000 1
In1 0.0000 0.0000 0.5000 1
Ga1 0.1912 0.2500 0.1250 1
# - Calculated formation energy: 0.094 eV per atom
# - Volume: 319 Å³ per cell

***

(8)
# ZrInGa3, optimized geometry, DFT PBEsol
data_ZrInGa3
_chemical_formula_sum 'Zr1 In1 Ga3'
_cell_length_a 4.9660
_cell_length_b 4.9660
_cell_length_c 4.9660
_cell_angle_alpha 90.00
_cell_angle_beta 90.00
_cell_angle_gamma 90.00
_symmetry_space_group_name_H-M 'P m -3 m'
_symmetry_Int_Tables_number 221
_symmetry_space_group_name_Hall '-P 4 2 3'
loop_
_atom_site_label
_atom_site_fract_x
_atom_site_fract_y
_atom_site_fract_z
_atom_site_occupancy
Zr1 0.0000 0.0000 0.0000 1
In1 0.5000 0.5000 0.5000 1
Ga1 0.0000 0.5000 0.5000 1
# - Calculated formation energy: 0.832 eV per atom
# - Volume: 122 Å³ per cell

***

(9)
# Ga2Ir, optimized geometry, DFT PBEsol
data_Ga2Ir
_chemical_formula_sum 'Ga24 Ir12'
_cell_length_a 3.8869
_cell_length_b 12.9470
_cell_length_c 10.8480
_cell_angle_alpha 90.00
_cell_angle_beta 90.00
_cell_angle_gamma 90.00
_symmetry_space_group_name_H-M 'C m c m'
_symmetry_Int_Tables_number 63
_symmetry_space_group_name_Hall '-C 2c 2'
loop_
_atom_site_label
_atom_site_fract_x
_atom_site_fract_y
_atom_site_fract_z
_atom_site_occupancy
Ga1 0.0000 0.0399 0.2500 1
Ga2 0.0000 0.1787 0.5174 1
Ga3 0.0000 0.2327 0.2500 1
Ga4 0.0000 0.4409 0.1056 1
Ir1 0.0000 0.1498 0.7500 1
Ir2 0.0000 0.3600 0.6227 1
# - Calculated formation energy: -0.475 eV per atom
# - Volume: 546 Å³ per cell

***

(10)
# Ga5Ir3, optimized geometry, DFT PBEsol
data_Ga5Ir3
_chemical_formula_sum 'Ga20 Ir12'
_cell_length_a 5.8052
_cell_length_b 5.8052
_cell_length_c 14.1686
_cell_angle_alpha 90.00
_cell_angle_beta 90.00
_cell_angle_gamma 90.00
_symmetry_space_group_name_H-M 'P -4 n 2'
_symmetry_Int_Tables_number 118
loop_
_symmetry_equiv_pos_as_xyz
'x,y,z'
'y,-x,-z'
'-x,-y,z'
'-y,x,-z'
'-x+1/2,y+1/2,z+1/2'
'-y+1/2,-x+1/2,-z+1/2'
'x+1/2,-y+1/2,z+1/2'
'y+1/2,x+1/2,-z+1/2'
loop_
_atom_site_label
_atom_site_fract_x
_atom_site_fract_y
_atom_site_fract_z
_atom_site_occupancy
Ga1 0.1476 0.2719 0.4472 1
Ga2 0.1546 0.8086 0.1527 1
Ga3 0.1677 0.6677 0.7500 1
Ir1 0.0000 0.0000 0.0000 1
Ir2 0.0000 0.0000 0.3273 1
Ir3 0.0000 0.5000 0.2500 1
Ir4 0.0000 0.5000 0.5863 1
# - Calculated formation energy: -0.498 eV per atom
# - Volume: 477 Å³ per cell

***

(11)
# GaIr, optimized geometry, DFT PBEsol
data_GaIr
_chemical_formula_sum 'Ga1 Ir1'
_cell_length_a 3.0199
_cell_length_b 3.0199
_cell_length_c 3.0199
_cell_angle_alpha 90.00
_cell_angle_beta 90.00
_cell_angle_gamma 90.00
_symmetry_space_group_name_H-M 'P m -3 m'
_symmetry_Int_Tables_number 221
_symmetry_space_group_name_Hall '-P 4 2 3'
loop_
_atom_site_label
_atom_site_fract_x
_atom_site_fract_y
_atom_site_fract_z
_atom_site_occupancy
Ga1 0.0000 0.0000 0.0000 1
Ir1 0.5000 0.5000 0.5000 1
# - Calculated formation energy: -0.412 eV per atom
# - Volume: 28 Å³ per cell

***

(12)
# La3GaIr, optimized geometry, DFT PBEsol
data_La3GaIr
_chemical_formula_sum 'La3 Ga1 Ir1'
_cell_length_a 5.4927
_cell_length_b 5.4927
_cell_length_c 5.4927
_cell_angle_alpha 90.00
_cell_angle_beta 90.00
_cell_angle_gamma 90.00
_symmetry_space_group_name_H-M 'P m -3 m'
_symmetry_Int_Tables_number 221
_symmetry_space_group_name_Hall '-P 4 2 3'
loop_
_atom_site_label
_atom_site_fract_x
_atom_site_fract_y
_atom_site_fract_z
_atom_site_occupancy
La1 0.0000 0.0000 0.5000 1
Ga1 0.5000 0.5000 0.5000 1
Ir1 0.0000 0.0000 0.0000 1
# - Calculated formation energy: -0.245 eV per atom
# - Volume: 166 Å³ per cell

***

So what do the calculations give for DFT total energy? Going down the list: -2.831 -2.676 -7.762 -5.470 -5.566 -2.413 -2.717 -3.586 -5.976 -6.269 -6.993 -6.085 eV/atom.